# Mn2Co

A relaxed Mn2Co crystal (GGA-PBE, Alexandria).

POSCAR file:
```
Mn2Co
1.0
1.9775 -3.4251 0.0000
1.9775 3.4251 0.0000
0.0000 0.0000 4.9296
Mn Co
4 2
Direct
0.6667 0.3333 0.2500
0.3333 0.6667 0.7500
0.0000 0.0000 0.5000
0.0000 0.0000 0.0000
0.3333 0.6667 0.2500
0.6667 0.3333 0.7500
```

Formation enthalpy at 0 K   0.28 eV/f.u.
Density of states at the Fermi level   7.5 states/eV/cell
Calculated total energy   -8.39 eV per atom